InFe2MoW | PBE | relaxed

```
data_InFe2MoW
_chemical_formula_sum 'In1 Fe2 Mo1 W1'
_symmetry_space_group_name_H-M 'P 4/m m m'
_symmetry_Int_Tables_number 123
_symmetry_space_group_name_Hall '-P 4 2'
_cell_length_a 4.4228
_cell_length_b 4.4228
_cell_length_c 4.8458
_cell_angle_alpha 90.00
_cell_angle_beta 90.00
_cell_angle_gamma 90.00
loop_
_atom_site_label
_atom_site_fract_x
_atom_site_fract_y
_atom_site_fract_z
In1 0.0000 0.0000 0.0000
Fe1 0.0000 0.5000 0.0000
Mo1 0.0000 0.0000 0.5000
W1 0.5000 0.5000 0.5000
```

Properties
Energy relative to the elements (eV per atom): 2.4919